Record 1
This record from the Alexandria database describes crystalline CsLiSnO3 at its relaxed geometry. The functional is GGA-PBE. Values from VASP.

Quantum ESPRESSO input file:
```
&SYSTEM
  ibrav = 0, nat = 12, ntyp = 4
/
ATOMIC_SPECIES
Cs 132.91 Cs.upf
Li 6.94 Li.upf
Sn 118.71 Sn.upf
O 16.00 O.upf
CELL_PARAMETERS angstrom
3.4007 0.0000 0.0000
0.0000 7.7946 -0.6245
0.0000 -2.6852 7.6668
ATOMIC_POSITIONS angstrom
Cs 0.8502 1.0644 1.9250
Cs 2.5505 4.0450 5.1173
Li 0.8502 -1.0105 4.5293
Li 2.5505 6.1199 2.5130
Sn 0.8502 4.8996 0.7089
Sn 2.5505 0.2098 6.3335
O 2.5505 6.2059 0.5171
O 0.8502 -1.0965 6.5253
O 0.8502 5.2259 2.7120
O 2.5505 -0.1165 4.3303
O 2.5505 3.4346 0.7146
O 0.8502 1.6748 6.3277
```

Results
N(E_F) (states/eV/atom): 0.00
E_form (uncorrected) (eV/atom): -1.68
Raw total energy (eV for the cell shown): -63.410
Calculated density (Mg/m³): 5.2


Record 2
This record from the Alexandria database describes crystalline Ba2CrPb at its relaxed geometry. The functional is GGA-PBE. Values from VASP.

Quantum ESPRESSO input file:
```
&SYSTEM
  ibrav = 0, nat = 4, ntyp = 3
/
ATOMIC_SPECIES
Ba 137.33 Ba.upf
Cr 52.00 Cr.upf
Pb 207.20 Pb.upf
CELL_PARAMETERS angstrom
-10.3494 -1.5841 -1.7305
-8.6278 -2.5393 -5.6326
-8.6935 -5.5600 -2.4745
ATOMIC_POSITIONS angstrom
Ba -0.0044 -0.0015 -0.0016
Ba -13.8310 -4.8402 -4.9172
Cr -6.9177 -2.4208 -2.4594
Pb -20.7530 -7.2625 -7.3782
```

Results
N(E_F) (states/eV/atom): 1.01
Raw total energy (eV for the cell shown): -15.639
Calculated density (Mg/m³): 5.2


Record 3
This record from the Alexandria database describes crystalline Li2RhC at its relaxed geometry. The functional is GGA-PBE. Values from VASP.

Quantum ESPRESSO input file:
```
&SYSTEM
  ibrav = 0, nat = 8, ntyp = 3
/
ATOMIC_SPECIES
C 12.01 C.upf
Rh 102.91 Rh.upf
Li 6.94 Li.upf
CELL_PARAMETERS angstrom
3.1504 0.0000 0.0000
0.0000 3.1504 0.0000
1.5752 1.5752 8.4528
ATOMIC_POSITIONS angstrom
C 1.5752 1.5752 0.0000
C 1.5752 3.1504 4.2264
Rh 0.0000 0.0000 0.0000
Rh 3.1504 1.5752 4.2264
Li 0.8928 0.7876 2.1132
Li 2.2575 2.3628 2.1132
Li 2.3628 3.8327 6.3396
Li 3.9380 2.4680 6.3396
```

Results
N(E_F) (states/eV/atom): 0.78
Raw total energy (eV for the cell shown): -36.238
Calculated density (Mg/m³): 5.1


Record 4
This record from the Alexandria database describes crystalline Pa2Ag2O7 at its relaxed geometry. The functional is GGA-PBE. Values from VASP.

Quantum ESPRESSO input file:
```
&SYSTEM
  ibrav = 0, nat = 11, ntyp = 3
/
ATOMIC_SPECIES
Pa 231.04 Pa.upf
Ag 107.87 Ag.upf
O 16.00 O.upf
CELL_PARAMETERS angstrom
-5.3039 1.1626 -1.5654
-1.1753 -2.6197 4.6660
0.7832 4.3647 3.2174
ATOMIC_POSITIONS angstrom
Pa -5.3814 1.6269 0.5687
Pa -0.3146 1.2806 5.7493
Ag -2.3566 3.2061 2.7956
Ag -3.3394 -0.2986 3.5224
O -0.8592 2.5320 1.5237
O -3.8492 3.8973 4.0639
O -4.8368 0.3755 4.7943
O -1.8468 -0.9897 2.2541
O 0.0000 0.0000 0.0000
O -4.2640 1.7166 2.5119
O -1.4320 1.1909 3.8061
```

Results
N(E_F) (states/eV/atom): 0.54
E_form (uncorrected) (eV/atom): -2.15
Raw total energy (eV for the cell shown): -83.097
Calculated density (Mg/m³): 7.9


Record 5
This record from the Alexandria database describes crystalline BeCdSb at its relaxed geometry. The functional is GGA-PBE. Values from VASP.

Quantum ESPRESSO input file:
```
&SYSTEM
  ibrav = 0, nat = 3, ntyp = 3
/
ATOMIC_SPECIES
Sb 121.76 Sb.upf
Be 9.01 Be.upf
Cd 112.41 Cd.upf
CELL_PARAMETERS angstrom
6.5160 0.0411 0.0615
4.9689 4.2155 -0.0615
-5.7643 -2.0693 2.2259
ATOMIC_POSITIONS angstrom
Sb 7.3285 2.7162 0.0000
Be 11.4467 4.2425 0.0000
Cd 4.1946 1.5546 0.0000
```

Results
N(E_F) (states/eV/atom): 0.46
E_form (uncorrected) (eV/atom): 0.46
Raw total energy (eV for the cell shown): -7.391
Relative energy among the computed polymorphs (eV/atom): 0.265
Calculated density (Mg/m³): 6.6


Record 6
This record from the Alexandria database describes crystalline NpGa2Rh at its relaxed geometry. The functional is GGA-PBE. Values from VASP.

Quantum ESPRESSO input file:
```
&SYSTEM
  ibrav = 0, nat = 4, ntyp = 3
/
ATOMIC_SPECIES
Np 237.00 Np.upf
Rh 102.91 Rh.upf
Ga 69.72 Ga.upf
CELL_PARAMETERS angstrom
3.0475 0.0000 0.0000
0.0000 3.0475 0.0000
0.0000 0.0000 7.4199
ATOMIC_POSITIONS angstrom
Np 1.5237 1.5237 3.7099
Rh 1.5237 1.5237 0.0000
Ga 0.0000 0.0000 5.9163
Ga 0.0000 0.0000 1.5036
```

Results
N(E_F) (states/eV/atom): 1.71
Raw total energy (eV for the cell shown): -27.783
Calculated density (Mg/m³): 11.6